No. 1
## CaNdPd4 (PBE)

Data for CaNdPd4 after structural relaxation.

Values from the calculation:
DFT total energy in eV/atom: -5.32
Symmetry: F-43m, No. 216

Lattice parameters (Å, degrees): 5.496 5.496 5.496 60.00 60.00 60.00
Element x y z (fractional)
1 Ca 0.250 0.250 0.250
2 Nd 0.000 0.000 0.000
3 Pd 0.625 0.625 0.126
4 Pd 0.625 0.126 0.625
5 Pd 0.625 0.625 0.625
6 Pd 0.126 0.625 0.625


No. 2
## NbV2SeN (PBE)

Data for NbV2SeN after structural relaxation.

Values from the calculation:
Formation energy (no corrections) in eV/atom: -0.06
DFT total energy in eV/atom: -8.09
Symmetry: P4/mmm, No. 123

Lattice parameters (Å, degrees): 3.786 3.786 5.102 90.00 90.00 90.00
Element x y z (fractional)
1 Nb 0.500 0.500 0.500
2 N 0.000 0.000 0.000
3 Se 0.000 0.000 0.500
4 V 0.000 0.500 0.000
5 V 0.500 0.000 0.000


No. 3
## ZrTa2Tc (PBE)

Data for ZrTa2Tc after structural relaxation.

Values from the calculation:
DFT total energy in eV/atom: -10.72
Symmetry: Pm, No. 6
Polymorph energy (0 for the lowest one) in meV per atom: 146

Lattice parameters (Å, degrees): 4.549 2.977 5.471 77.84 90.00 90.00
Element x y z (fractional)
1 Ta 0.000 0.001 0.008
2 Ta 0.500 0.281 0.258
3 Tc 0.000 0.499 0.492
4 Zr 0.500 0.719 0.742


No. 4
## Rb2AcUS4 (PBE)

Data for Rb2AcUS4 after structural relaxation.

Values from the calculation:
Formation energy (no corrections) in eV/atom: -1.57
DFT total energy in eV/atom: -5.81
Symmetry: P2/m, No. 10

Lattice parameters (Å, degrees): 4.279 7.457 8.119 107.72 90.00 90.00
Site moments in Bohr magnetons follow the coordinates.
Element x y z (fractional)
1 Rb 0.500 0.000 0.500  0.00
2 Rb 0.000 0.500 0.500  0.00
3 Ac 0.000 0.000 0.000  0.05
4 U 0.500 0.500 0.000  2.65
5 S 0.500 0.251 0.202  -0.02
6 S 0.500 0.749 0.798  -0.02
7 S 0.000 0.285 0.806  -0.04
8 S 0.000 0.715 0.194  -0.04


No. 5
## LuScSn (PBE)

Data for LuScSn after structural relaxation.

Values from the calculation:
DFT total energy in eV/atom: -5.34
Symmetry: I4mm, No. 107
Polymorph energy (0 for the lowest one) in meV per atom: 0

Lattice parameters (Å, degrees): 3.752 3.752 5.935 108.42 108.42 90.00
Site moments in Bohr magnetons follow the coordinates.
Element x y z (fractional)
1 Sc 0.295 0.295 0.590  0.41
2 Lu 0.612 0.612 0.225  0.38
3 Sn 0.943 0.943 0.885  0.02


No. 6
## AgH2Ru (PBE)

Data for AgH2Ru after structural relaxation.

Values from the calculation:
DFT total energy in eV/atom: -4.52
Symmetry: R-3m, No. 166
Polymorph energy (0 for the lowest one) in meV per atom: 0

Lattice parameters (Å, degrees): 2.923 2.923 5.557 74.75 74.75 60.00
Site moments in Bohr magnetons follow the coordinates.
Element x y z (fractional)
1 Ru 0.500 0.500 0.500  0.44
2 Ag 0.000 0.000 0.000  0.00
3 H 0.121 0.121 0.638  0.00
4 H 0.879 0.879 0.362  0.00


No. 7
## CeSmIn2 (PBE)

Data for CeSmIn2 after structural relaxation.

Values from the calculation:
DFT total energy in eV/atom: -4.26
Symmetry: R-3m, No. 166

Lattice parameters (Å, degrees): 3.714 3.714 10.317 79.63 79.63 60.00
Site moments in Bohr magnetons follow the coordinates.
Element x y z (fractional)
1 Ce 0.000 0.000 0.000  0.79
2 Sm 0.500 0.500 0.500  -0.02
3 In 0.751 0.751 0.748  -0.01
4 In 0.249 0.249 0.252  -0.01


No. 8
## Pr2AgSe3 (PBE)

Data for Pr2AgSe3 after structural relaxation.

Values from the calculation:
Formation energy (no corrections) in eV/atom: -1.34
DFT total energy in eV/atom: -5.15
Symmetry: Immm, No. 71

Lattice parameters (Å, degrees): 3.913 4.867 8.901 105.87 102.70 90.00
Element x y z (fractional)
1 Pr 0.642 0.642 0.284
2 Pr 0.358 0.358 0.716
3 Ag 0.000 0.000 0.000
4 Se 0.000 0.500 0.000
5 Se 0.823 0.823 0.646
6 Se 0.177 0.177 0.354